(1)
The following is a DFT calculation (PBE) of a relaxed structure of Li2TmMgAu2.

Energy relative to the elements   -12.6 kcal/mol of atoms
SG   No. 164

Cell and atoms, written as extended XYZ:
```
6
Lattice="4.498 0.000 0.000 -2.249 3.895 0.000 0.000 0.000 6.464" Properties=species:S:1:pos:R:3 pbc="T T T"
Li 0.000 2.597 1.187
Li 2.249 1.298 5.277
Tm 0.000 0.000 3.232
Mg 0.000 0.000 0.000
Au 0.000 2.597 4.884
Au 2.249 1.298 1.580
```

---

(2)
The following is a DFT calculation (PBE) of a relaxed structure of SbPN2.

ΔE to the lowest computed polymorph   0 meV per atom
Formation energy (no corrections)   0.300 eV/atom
SG   No. 122

Cell and atoms, written as extended XYZ:
```
16
Lattice="5.264 0.000 0.000 0.000 5.264 0.000 0.000 0.000 7.468" Properties=species:S:1:pos:R:3 pbc="T T T"
Sb 0.000 0.000 0.000
Sb 0.000 2.632 1.867
Sb 2.632 0.000 5.601
Sb 2.632 2.632 3.734
P 0.000 0.000 3.734
P 0.000 2.632 5.601
P 2.632 0.000 1.867
P 2.632 2.632 0.000
N 0.006 3.948 4.668
N 1.316 0.006 2.801
N 1.316 2.626 6.535
N 2.626 3.948 0.934
N 2.638 1.316 0.934
N 3.948 2.638 6.535
N 3.948 5.258 2.801
N 5.258 1.316 4.668
```

---

(3)
The following is a DFT calculation (PBE) of a relaxed structure of Tb3HoCd.

ΔE to the lowest computed polymorph   178 meV per atom
Energy relative to the elements   1.2 kcal/mol of atoms
SG   No. 15

Cell and atoms, written as extended XYZ:
```
20
Lattice="6.820 -6.748 0.000 6.820 6.748 0.000 -1.045 0.000 6.655" Properties=species:S:1:pos:R:3 pbc="T T T"
Tb 1.285 0.978 0.735
Tb 3.556 2.183 6.493
Tb 0.763 -0.978 4.062
Tb 3.706 1.069 3.136
Tb 3.183 -1.069 6.464
Tb 4.078 -2.183 3.165
Tb 8.518 2.183 3.490
Tb 9.413 1.069 0.192
Tb 8.890 -1.069 3.519
Tb 11.833 0.978 2.593
Tb 9.041 -2.183 0.163
Tb 11.311 -0.978 5.921
Ho 4.998 4.241 2.416
Ho 8.121 4.241 0.912
Ho 4.475 -4.241 5.744
Ho 7.598 -4.241 4.239
Cd 6.037 2.893 4.991
Cd 6.559 0.262 1.664
Cd 6.037 -0.262 4.991
Cd 6.559 -2.893 1.664
```

---

no.,size of the total moment (μB per cell)
1,0.00
2,0.00
3,0.00